(1)
Entry from the Alexandria database: a relaxed structure of SmHg6Pb2 (PBE-GGA).

Calculated values
E_form = -0.121 eV/atom

Cell lengths 8.646, 8.646, 4.811 Å; angles 97.74, 97.74, 134.08 degrees
Atoms (fractional coordinates):
Sm 0.000 0.000 0.000
Hg 0.178 0.494 0.165
Hg 0.343 0.343 0.669
Hg 0.494 0.178 0.165
Hg 0.506 0.822 0.835
Hg 0.657 0.657 0.331
Hg 0.822 0.506 0.835
Pb 0.167 0.833 0.500
Pb 0.833 0.167 0.500

=====

(2)
Entry from the Alexandria database: a relaxed structure of Sm3HgPb2 (PBE-GGA).

Calculated values
E_form = -0.469 eV/atom

Cell lengths 12.701, 4.790, 11.930 Å; angles 90.00, 90.00, 90.00 degrees
Atoms (fractional coordinates):
Sm 0.038 0.250 0.125
Sm 0.136 0.750 0.571
Sm 0.204 0.250 0.816
Sm 0.296 0.750 0.316
Sm 0.364 0.250 0.071
Sm 0.462 0.750 0.625
Sm 0.538 0.250 0.375
Sm 0.636 0.750 0.929
Sm 0.704 0.250 0.684
Sm 0.796 0.750 0.184
Sm 0.864 0.250 0.429
Sm 0.962 0.750 0.875
Hg 0.154 0.250 0.348
Hg 0.346 0.750 0.848
Hg 0.654 0.250 0.152
Hg 0.846 0.750 0.652
Pb 0.006 0.750 0.327
Pb 0.181 0.750 0.033
Pb 0.319 0.250 0.533
Pb 0.494 0.250 0.827
Pb 0.506 0.750 0.173
Pb 0.681 0.750 0.467
Pb 0.819 0.250 0.967
Pb 0.994 0.250 0.673

=====

(3)
Entry from the Alexandria database: a relaxed structure of SmHgPb3 (PBE-GGA).

Calculated values
E_form = -0.213 eV/atom

Cell lengths 4.497, 6.059, 6.146 Å; angles 77.92, 68.88, 68.42 degrees
Atoms (fractional coordinates):
Sm 0.000 0.000 0.000
Hg 0.791 0.608 0.809
Pb 0.197 0.414 0.194
Pb 0.374 0.821 0.426
Pb 0.601 0.210 0.593

=====

(4)
Entry from the Alexandria database: a relaxed structure of SmHgPb (PBE-GGA).

Calculated values
E_form = -0.331 eV/atom

Cell lengths 6.314, 6.416, 9.079 Å; angles 90.00, 107.08, 90.00 degrees
Atoms (fractional coordinates):
Sm 0.000 0.158 0.000
Sm 0.000 0.842 0.500
Sm 0.500 0.342 0.500
Sm 0.500 0.658 0.000
Hg 0.499 0.230 0.836
Hg 0.499 0.770 0.336
Hg 0.999 0.270 0.336
Hg 0.999 0.730 0.836
Pb 0.034 0.338 0.668
Pb 0.034 0.662 0.168
Pb 0.534 0.162 0.168
Pb 0.534 0.838 0.668

=====

(5)
Entry from the Alexandria database: a relaxed structure of SmHg2Pb3 (PBE-GGA).

Calculated values
E_form = -0.152 eV/atom

Cell lengths 8.400, 8.400, 6.441 Å; angles 110.74, 110.74, 105.85 degrees
Atoms (fractional coordinates):
Sm 0.105 0.895 0.750
Sm 0.895 0.105 0.250
Hg 0.133 0.527 0.776
Hg 0.473 0.867 0.724
Hg 0.527 0.133 0.276
Hg 0.867 0.473 0.224
Pb 0.151 0.849 0.250
Pb 0.286 0.371 0.262
Pb 0.371 0.286 0.762
Pb 0.629 0.714 0.238
Pb 0.714 0.629 0.738
Pb 0.849 0.151 0.750

=====

(6)
Entry from the Alexandria database: a relaxed structure of Sm3HgPb2 (PBE-GGA).

Calculated values
E_form = -0.444 eV/atom

Cell lengths 9.019, 9.019, 6.558 Å; angles 101.88, 101.88, 42.24 degrees
Atoms (fractional coordinates):
Sm 0.145 0.855 0.750
Sm 0.223 0.439 0.401
Sm 0.439 0.223 0.901
Sm 0.561 0.777 0.099
Sm 0.777 0.561 0.599
Sm 0.855 0.145 0.250
Hg 0.371 0.629 0.250
Hg 0.629 0.371 0.750
Pb 0.055 0.265 0.056
Pb 0.265 0.055 0.556
Pb 0.735 0.945 0.444
Pb 0.945 0.735 0.944

=====

(7)
Entry from the Alexandria database: a relaxed structure of Sm5Hg6Pb (PBE-GGA).

Calculated values
E_form = -0.443 eV/atom

Cell lengths 8.338, 8.338, 7.746 Å; angles 90.00, 90.00, 142.97 degrees
Atoms (fractional coordinates):
Sm 0.000 0.000 0.000
Sm 0.326 0.674 0.000
Sm 0.349 0.651 0.500
Sm 0.651 0.349 0.500
Sm 0.674 0.326 0.000
Hg 0.172 0.828 0.260
Hg 0.172 0.828 0.740
Hg 0.500 0.500 0.226
Hg 0.500 0.500 0.774
Hg 0.828 0.172 0.260
Hg 0.828 0.172 0.740
Pb 0.000 0.000 0.500

=====

(8)
Entry from the Alexandria database: a relaxed structure of SmHg4Pb (PBE-GGA).

Calculated values
E_form = -0.105 eV/atom

Cell lengths 6.065, 6.065, 6.065 Å; angles 60.00, 60.00, 60.00 degrees
Atoms (fractional coordinates):
Sm 0.000 0.000 0.000
Hg 0.375 0.375 0.375
Hg 0.375 0.375 0.875
Hg 0.375 0.875 0.375
Hg 0.875 0.375 0.375
Pb 0.750 0.750 0.750